This record from Alexandria via LeMat-Bulk describes a relaxed structure of TbHo2Pd8. The functional is PBE.

Lattice parameters (Å, degrees): 7.7070 7.7070 6.7637 107.71 107.71 31.63
Positions (direct):
Tb  0.0000  0.0000  0.0000
Ho  0.2823  0.2823  0.3339
Ho  0.7177  0.7177  0.6661
Pd  0.0919  0.0919  0.4522
Pd  0.1776  0.1776  0.9072
Pd  0.3579  0.3579  0.8180
Pd  0.4624  0.4624  0.2830
Pd  0.5376  0.5376  0.7170
Pd  0.6421  0.6421  0.1820
Pd  0.8224  0.8224  0.0928
Pd  0.9081  0.9081  0.5478

## Properties
For the energy of formation from the pure elements, the calculation gives -0.771 eV per atom. The value obtained for the final energy is -5.8007 eV per atom.